Entry 1:
# Tb2VSe

A geometry-optimized Tb2VSe structure (PBE, Alexandria via LeMat-Bulk).

* SG: R-3m (166)
* D(E_F): 0.80 states/eV/atom
* formation energy (no corrections): -0.2 eV per formula unit

abc: 3.6362 3.6362 9.6673
angles: 79.16 79.16 60.00
Last column: nearest neighbours and their distance in Å.
Sites, in units of the cell vectors:
Tb (0.0998, 0.0998, 0.7005)  1 V 2.83, 3 Se 2.83
Tb (0.9002, 0.9002, 0.2995)  1 V 2.83, 3 Se 2.83
Se (0.5000, 0.5000, 0.5000)  6 Tb 2.83
V (0.0000, 0.0000, 0.0000)  2 Tb 2.83

***

Entry 2:
# TbVSe2

A geometry-optimized TbVSe2 structure (PBE, Alexandria via LeMat-Bulk).

* SG: R-3m (166)
* D(E_F): 1.72 states/eV/atom
* formation energy (no corrections): -2.5 eV per formula unit

abc: 3.7513 3.7513 8.7197
angles: 77.58 77.58 60.00
Last column: nearest neighbours and their distance in Å.
Sites, in units of the cell vectors:
Tb (0.0000, 0.0000, 0.0000)  2 Se 2.81
Se (0.1108, 0.1108, 0.6675)  3 V 2.59, 1 Tb 2.81
Se (0.8892, 0.8892, 0.3325)  3 V 2.59, 1 Tb 2.81
V (0.5000, 0.5000, 0.5000)  6 Se 2.59

***

Entry 3:
# TbW4Se8

A geometry-optimized TbW4Se8 structure (PBE, Alexandria via LeMat-Bulk).

* SG: R-3m (166)
* D(E_F): 0.83 states/eV/atom
* formation energy (no corrections): -4.1 eV per formula unit

abc: 6.7943 6.7943 8.3404
angles: 90.00 114.04 120.00
Last column: nearest neighbours and their distance in Å.
Sites, in units of the cell vectors:
Tb (0.0000, 0.5000, 0.5000)  6 Se 2.82
W (0.0000, 0.0000, 0.0000)  6 Se 2.56
W (0.0000, 0.5000, 0.0000)  6 Se 2.58-2.61
W (0.5000, 0.5000, 0.0000)  6 Se 2.58-2.61
W (0.5000, 0.0000, 0.0000)  6 Se 2.58-2.61
Se (0.4857, 0.7428, 0.2286)  3 W 2.58
Se (0.5143, 0.2572, 0.7714)  3 W 2.58
Se (0.4796, 0.2398, 0.2304)  3 W 2.56-2.61, 1 Tb 2.82
Se (0.0094, 0.2492, 0.7696)  3 W 2.56-2.61, 1 Tb 2.82
Se (0.5204, 0.7602, 0.7696)  3 W 2.56-2.61, 1 Tb 2.82
Se (0.0094, 0.7602, 0.7696)  3 W 2.56-2.61, 1 Tb 2.82
Se (0.9906, 0.2398, 0.2304)  3 W 2.56-2.61, 1 Tb 2.82
Se (0.9906, 0.7508, 0.2304)  3 W 2.56-2.61, 1 Tb 2.82

***

Entry 4:
# TbY6Se8

A geometry-optimized TbY6Se8 structure (PBE, Alexandria via LeMat-Bulk).

* energy above the most stable polymorph in this dataset: 5.381 eV/f.u.
* SG: R-3 (148)
* D(E_F): 0.59 states/eV/atom
* formation energy (no corrections): -22.3 eV per formula unit

abc: 8.0768 8.0768 8.0768
angles: 96.27 96.27 96.27
Last column: nearest neighbours and their distance in Å.
Sites, in units of the cell vectors:
Tb (0.0000, 0.0000, 0.0000)  2 Se 2.78
Y (0.6251, 0.4422, 0.8084)  5 Se 2.78-2.91
Y (0.4422, 0.8084, 0.6251)  5 Se 2.78-2.91
Y (0.8084, 0.6251, 0.4422)  5 Se 2.78-2.91
Y (0.3749, 0.5578, 0.1916)  5 Se 2.78-2.91
Y (0.5578, 0.1916, 0.3749)  5 Se 2.78-2.91
Y (0.1916, 0.3749, 0.5578)  5 Se 2.78-2.91
Se (0.7752, 0.7752, 0.7752)  1 Tb 2.78, 3 Y 2.88
Se (0.2248, 0.2248, 0.2248)  1 Tb 2.78, 3 Y 2.88
Se (0.5959, 0.8525, 0.3205)  4 Y 2.78-2.91
Se (0.8525, 0.3205, 0.5959)  4 Y 2.78-2.91
Se (0.3205, 0.5959, 0.8525)  4 Y 2.78-2.91
Se (0.4041, 0.1475, 0.6795)  4 Y 2.78-2.91
Se (0.1475, 0.6795, 0.4041)  4 Y 2.78-2.91
Se (0.6795, 0.4041, 0.1475)  4 Y 2.78-2.91

***

Entry 5:
# TbY3Se4

A geometry-optimized TbY3Se4 structure (PBE, Alexandria via LeMat-Bulk).

* energy above the most stable polymorph in this dataset: 0.000 eV/f.u.
* SG: P2/c (13)
* D(E_F): 0.47 states/eV/atom
* formation energy (no corrections): -14.2 eV per formula unit

abc: 7.1087 7.1112 8.1021
angles: 90.00 90.00 109.30
Last column: nearest neighbours and their distance in Å.
Sites, in units of the cell vectors:
Y (0.7500, 0.0000, 0.3744)  6 Se 2.88-2.90
Y (0.2500, 0.0000, 0.6256)  6 Se 2.88-2.90
Y (0.7500, 0.5000, 0.6254)  6 Se 2.88-2.90
Y (0.7500, 0.5000, 0.1248)  6 Se 2.88-2.90
Y (0.2500, 0.5000, 0.3746)  6 Se 2.88-2.90
Y (0.2500, 0.5000, 0.8752)  6 Se 2.88-2.90
Tb (0.7500, 0.0000, 0.8753)  6 Se 2.89-2.90
Tb (0.2500, 0.0000, 0.1247)  6 Se 2.89-2.90
Se (0.0002, 0.2502, 0.6245)  5 Y 2.89-2.90, 1 Tb 2.89
Se (0.5001, 0.2507, 0.8748)  4 Y 2.88-2.90, 2 Tb 2.89-2.90
Se (0.5002, 0.2502, 0.3755)  5 Y 2.89-2.90, 1 Tb 2.89
Se (0.0001, 0.2507, 0.1252)  4 Y 2.88-2.90, 2 Tb 2.89-2.90
Se (0.9999, 0.7493, 0.8748)  4 Y 2.88-2.90, 2 Tb 2.89-2.90
Se (0.4998, 0.7498, 0.6245)  5 Y 2.89-2.90, 1 Tb 2.89
Se (0.4999, 0.7493, 0.1252)  4 Y 2.88-2.90, 2 Tb 2.89-2.90
Se (0.9998, 0.7498, 0.3755)  5 Y 2.89-2.90, 1 Tb 2.89

***

Entry 6:
# Tb6YSe8

A geometry-optimized Tb6YSe8 structure (PBE, Alexandria via LeMat-Bulk).

* SG: Fm-3m (225)
* D(E_F): 0.42 states/eV/atom
* formation energy (no corrections): -27.7 eV per formula unit

abc: 8.1617 8.1617 8.1617
angles: 60.00 60.00 60.00
Last column: nearest neighbours and their distance in Å.
Sites, in units of the cell vectors:
Tb (0.0000, 0.5000, 0.5000)  6 Se 2.89
Tb (0.5000, 0.0000, 0.0000)  6 Se 2.89
Tb (0.5000, 0.5000, 0.0000)  6 Se 2.89
Tb (0.0000, 0.0000, 0.5000)  6 Se 2.89
Tb (0.0000, 0.5000, 0.0000)  6 Se 2.89
Tb (0.5000, 0.0000, 0.5000)  6 Se 2.89
Y (0.0000, 0.0000, 0.0000)  6 Se 2.92
Se (0.7500, 0.7500, 0.7500)  6 Tb 2.89
Se (0.2500, 0.2500, 0.2500)  6 Tb 2.89
Se (0.7471, 0.2529, 0.2529)  4 Tb 2.89, 1 Y 2.92
Se (0.2529, 0.7471, 0.7471)  4 Tb 2.89, 1 Y 2.92
Se (0.2529, 0.2529, 0.7471)  4 Tb 2.89, 1 Y 2.92
Se (0.7471, 0.7471, 0.2529)  4 Tb 2.89, 1 Y 2.92
Se (0.7471, 0.2529, 0.7471)  4 Tb 2.89, 1 Y 2.92
Se (0.2529, 0.7471, 0.2529)  4 Tb 2.89, 1 Y 2.92

***

Question: The highest formation energy (no corrections) belongs to which entry?
Answer: Tb2VSe